# 1
Material: Cs3YAg2I9
Method: DFT, PBE
State: relaxed

Cell: 8.482 8.482 10.555 Å, 90.00 90.00 120.00°
Fractional coordinates of all 15 atoms:
Cs 0.333 0.667 0.676
Cs 0.000 0.000 0.000
Cs 0.667 0.333 0.324
Y 0.000 0.000 0.500
Ag 0.333 0.667 0.151
Ag 0.667 0.333 0.849
I 0.832 0.168 0.666
I 0.832 0.663 0.666
I 0.337 0.168 0.666
I 0.663 0.832 0.334
I 0.168 0.337 0.334
I 0.168 0.832 0.334
I 0.500 0.000 0.000
I 0.000 0.500 0.000
I 0.500 0.500 0.000

Calculated density = 4.660 g cm⁻³
Formation energy without anion corrections = -1.0393 eV per atom



# 2
Material: TiZnBiO5
Method: DFT, PBE
State: relaxed

Cell: 10.929 5.228 8.588 Å, 75.69 90.00 90.00°
Fractional coordinates of all 32 atoms:
Ti 0.380 0.116 0.069
Ti 0.620 0.884 0.931
Ti 0.880 0.884 0.431
Ti 0.120 0.116 0.569
Zn 0.119 0.520 0.852
Zn 0.881 0.480 0.148
Zn 0.619 0.480 0.648
Zn 0.381 0.520 0.352
Bi 0.898 0.047 0.841
Bi 0.102 0.953 0.159
Bi 0.602 0.047 0.341
Bi 0.398 0.953 0.659
O 0.949 0.884 0.631
O 0.051 0.310 0.703
O 0.799 0.192 0.314
O 0.462 0.767 0.469
O 0.730 0.722 0.492
O 0.770 0.722 0.992
O 0.449 0.310 0.203
O 0.551 0.690 0.797
O 0.538 0.233 0.531
O 0.449 0.116 0.869
O 0.270 0.278 0.508
O 0.051 0.116 0.369
O 0.551 0.884 0.131
O 0.230 0.278 0.008
O 0.962 0.233 0.031
O 0.038 0.767 0.969
O 0.201 0.808 0.686
O 0.949 0.690 0.297
O 0.299 0.808 0.186
O 0.701 0.192 0.814

Calculated density = 5.619 g cm⁻³
Formation energy without anion corrections = -1.7960 eV per atom



# 3
Material: Na3Er3AsO8
Method: DFT, PBE
State: relaxed

Cell: 6.638 6.638 6.761 Å, 119.41 89.99 120.00°
Fractional coordinates of all 15 atoms:
Na 0.000 0.000 0.000
Na 0.000 0.500 0.000
Na 0.500 0.500 0.000
Er 0.500 0.000 0.500
Er 0.500 0.500 0.500
Er 0.000 0.500 0.500
As 0.000 0.000 0.500
O 0.264 0.528 0.292
O 0.736 0.472 0.708
O 0.784 0.568 0.305
O 0.216 0.432 0.695
O 0.784 0.020 0.305
O 0.216 0.980 0.695
O 0.236 0.020 0.305
O 0.764 0.980 0.695

Calculated density = 6.045 g cm⁻³
Formation energy without anion corrections = -2.4689 eV per atom



# 4
Material: CdAgIr2
Method: DFT, PBE
State: relaxed

Cell: 5.765 5.765 5.765 Å, 151.64 130.25 58.26°
Fractional coordinates of all 4 atoms:
Ir 0.981 0.981 0.000
Ir 0.771 0.271 0.500
Ag 0.514 0.514 0.000
Cd 0.234 0.734 0.500

Calculated density = 14.552 g cm⁻³
Formation energy from the elements = 359.8 meV/atom



# 5
Material: Y3BeRh
Method: DFT, PBE
State: relaxed

Cell: 5.298 5.298 5.298 Å, 90.00 90.00 90.00°
Fractional coordinates of all 5 atoms:
Y 0.000 0.500 0.000
Y 0.000 0.000 0.500
Y 0.500 0.000 0.000
Be 0.500 0.500 0.500
Rh 0.000 0.000 0.000

Distance to the lowest polymorph of the same formula = 0.00 kcal/mol of atoms
Calculated density = 4.227 g cm⁻³
Formation energy from the elements = 165.1 meV/atom



# 6
Material: Tm5CoHg2
Method: DFT, PBE
State: relaxed

Cell: 5.164 8.275 12.157 Å, 90.00 90.00 108.18°
Fractional coordinates of all 16 atoms:
Tm 0.922 0.844 0.894
Tm 0.922 0.844 0.606
Tm 0.304 0.607 0.421
Tm 0.304 0.607 0.079
Tm 0.705 0.410 0.250
Tm 0.295 0.590 0.750
Tm 0.696 0.393 0.579
Tm 0.696 0.393 0.921
Tm 0.078 0.156 0.106
Tm 0.078 0.156 0.394
Co 0.803 0.607 0.750
Co 0.197 0.393 0.250
Hg 0.889 0.777 0.367
Hg 0.889 0.777 0.133
Hg 0.111 0.223 0.633
Hg 0.111 0.223 0.867

Distance to the lowest polymorph of the same formula = 7.22 kcal/mol of atoms
Calculated density = 8.780 g cm⁻³
Formation energy from the elements = -17.7 meV/atom



# 7
Material: ZrSi2Rh
Method: DFT, PBE
State: relaxed

Cell: 3.187 3.187 6.172 Å, 90.00 90.00 90.00°
Fractional coordinates of all 4 atoms:
Rh 0.500 0.500 0.816
Si 0.000 0.000 0.987
Si 0.500 0.500 0.216
Zr 0.000 0.000 0.480

Calculated density = 6.629 g cm⁻³
Formation energy without anion corrections = -0.5875 eV per atom



# 8
Material: BaInPd
Method: DFT, PBE
State: relaxed

Cell: 4.647 4.787 4.787 Å, 120.00 90.00 90.00°
Fractional coordinates of all 3 atoms:
Ba 0.667 0.333 0.667
Pd 0.167 0.667 0.333
In 0.167 0.000 0.000

Calculated density = 6.458 g cm⁻³
Formation energy from the elements = -527.7 meV/atom



# 9
Material: Ac8Tl2Rh3
Method: DFT, PBE
State: relaxed

Cell: 7.560 8.637 9.389 Å, 117.38 105.84 90.00°
Fractional coordinates of all 13 atoms:
Ac 0.954 0.615 0.230
Ac 0.046 0.385 0.770
Ac 0.905 0.106 0.211
Ac 0.095 0.894 0.789
Ac 0.603 0.658 0.795
Ac 0.603 0.138 0.795
Ac 0.397 0.862 0.205
Ac 0.397 0.342 0.205
Tl 0.330 0.259 0.519
Tl 0.670 0.741 0.481
Rh 0.500 0.000 0.000
Rh 0.000 0.253 0.000
Rh 0.000 0.747 0.000

Calculated density = 8.121 g cm⁻³
Formation energy from the elements = -410.2 meV/atom



# 10
Material: Zn2SiAgSe4
Method: DFT, PBE
State: relaxed

Cell: 5.889 5.889 7.134 Å, 114.39 114.38 89.99°
Fractional coordinates of all 8 atoms:
Zn 0.750 0.250 0.500
Zn 0.250 0.750 0.500
Si 0.500 0.500 0.000
Ag 0.000 0.000 0.001
Se 0.607 0.607 0.744
Se 0.393 0.863 0.256
Se 0.863 0.393 0.256
Se 0.137 0.137 0.744

Calculated density = 4.816 g cm⁻³
Formation energy without anion corrections = -0.3479 eV per atom



# 11
Material: LiPuHg
Method: DFT, PBE
State: relaxed

Cell: 3.391 3.391 6.311 Å, 105.58 105.58 90.00°
Site moments in Bohr magnetons follow the coordinates.
Fractional coordinates of all 3 atoms:
Pu 0.616 0.616 0.231  5.65
Hg 0.923 0.923 0.847  -0.02
Li 0.311 0.311 0.622  0.01

Distance to the lowest polymorph of the same formula = 0.97 kcal/mol of atoms
Calculated density = 11.173 g cm⁻³
Formation energy from the elements = -34.6 meV/atom



# 12
Material: Ca2AlTe
Method: DFT, PBE
State: relaxed

Cell: 6.598 6.598 6.598 Å, 140.40 140.40 57.24°
Fractional coordinates of all 4 atoms:
Ca 0.000 0.000 0.000
Ca 0.250 0.750 0.500
Te 0.500 0.500 0.000
Al 0.750 0.250 0.500

Distance to the lowest polymorph of the same formula = 2.51 kcal/mol of atoms
Calculated density = 3.369 g cm⁻³
Formation energy without anion corrections = -0.5788 eV per atom



# 13
Material: YHfAu4
Method: DFT, PBE
State: relaxed

Cell: 3.656 3.656 8.950 Å, 90.00 90.00 90.00°
Fractional coordinates of all 6 atoms:
Y 0.500 0.500 0.500
Hf 0.000 0.000 0.000
Au 0.500 0.500 0.841
Au 0.500 0.500 0.159
Au 0.000 0.000 0.676
Au 0.000 0.000 0.324

Calculated density = 14.645 g cm⁻³
Formation energy from the elements = -704.4 meV/atom



# 14
Material: Zr2TcN
Method: DFT, PBE
State: relaxed

Cell: 6.261 6.261 5.740 Å, 56.95 56.95 90.00°
Fractional coordinates of all 8 atoms:
Tc 0.000 0.000 0.000
Tc 0.750 0.250 0.500
Zr 0.552 0.125 0.250
Zr 0.198 0.625 0.250
Zr 0.375 0.448 0.750
Zr 0.875 0.802 0.750
N 0.500 0.500 0.000
N 0.250 0.750 0.500

Calculated density = 6.827 g cm⁻³
Formation energy without anion corrections = -0.2576 eV per atom



# 15
Material: ScIrS2
Method: DFT, PBE
State: relaxed

Cell: 4.433 4.433 4.433 Å, 60.00 60.00 60.00°
Fractional coordinates of all 4 atoms:
Sc 0.000 0.000 0.000
S 0.250 0.250 0.250
S 0.750 0.750 0.750
Ir 0.500 0.500 0.500

Distance to the lowest polymorph of the same formula = 6.65 kcal/mol of atoms
Calculated density = 8.124 g cm⁻³
Formation energy without anion corrections = -0.4873 eV per atom



# 16
Material: HfBi3Os
Method: DFT, PBE
State: relaxed

Cell: 5.556 5.556 5.556 Å, 90.00 90.00 90.00°
Site moments in Bohr magnetons follow the coordinates.
Fractional coordinates of all 5 atoms:
Hf 0.000 0.000 0.000  0.16
Os 0.500 0.500 0.500  2.80
Bi 0.000 0.500 0.000  -0.09
Bi 0.000 0.000 0.500  -0.16
Bi 0.500 0.000 0.000  -0.04

Distance to the lowest polymorph of the same formula = 10.01 kcal/mol of atoms
Calculated density = 9.642 g cm⁻³
Formation energy from the elements = 1547.1 meV/atom



# 17
Material: AlOs
Method: DFT, PBE
State: relaxed

Cell: 4.356 14.767 7.755 Å, 90.00 90.00 90.00°
Fractional coordinates of all 32 atoms:
Al 0.000 0.000 0.337
Al 0.000 0.000 0.663
Al 0.250 0.750 0.913
Al 0.250 0.750 0.587
Al 0.000 0.500 0.837
Al 0.000 0.500 0.163
Al 0.250 0.250 0.413
Al 0.250 0.250 0.087
Al 0.500 0.000 0.837
Al 0.500 0.000 0.163
Al 0.750 0.750 0.413
Al 0.750 0.750 0.087
Al 0.500 0.500 0.337
Al 0.500 0.500 0.663
Al 0.750 0.250 0.913
Al 0.750 0.250 0.587
Os 0.000 0.915 0.000
Os 0.000 0.085 0.000
Os 0.250 0.835 0.250
Os 0.250 0.665 0.250
Os 0.000 0.415 0.500
Os 0.000 0.585 0.500
Os 0.250 0.335 0.750
Os 0.250 0.165 0.750
Os 0.500 0.915 0.500
Os 0.500 0.085 0.500
Os 0.750 0.835 0.750
Os 0.750 0.665 0.750
Os 0.500 0.415 0.000
Os 0.500 0.585 0.000
Os 0.750 0.335 0.250
Os 0.750 0.165 0.250

Calculated density = 11.570 g cm⁻³
Formation energy from the elements = 73.3 meV/atom



# 18
Material: Zr2VHPt
Method: DFT, PBE
State: relaxed

Cell: 4.585 4.585 3.568 Å, 90.00 90.00 90.00°
Site moments in Bohr magnetons follow the coordinates.
Fractional coordinates of all 5 atoms:
H 0.000 0.000 0.000  0.00
Zr 0.000 0.500 0.000  -0.02
Zr 0.500 0.000 0.000  -0.02
Pt 0.500 0.500 0.500  0.01
V 0.000 0.000 0.500  0.38

Energy = -7.583 eV per atom
Calculated density = 9.506 g cm⁻³



# 19
Material: FeCo2Ag
Method: DFT, PBE
State: relaxed

Cell: 4.464 4.464 2.718 Å, 90.00 90.00 107.09°
Site moments in Bohr magnetons follow the coordinates.
Fractional coordinates of all 4 atoms:
Ag 0.000 0.500 0.500  0.03
Co 0.000 0.000 0.000  1.68
Co 0.500 0.500 0.000  1.68
Fe 0.500 0.000 0.500  2.79

Distance to the lowest polymorph of the same formula = 3.02 kcal/mol of atoms
Calculated density = 9.031 g cm⁻³
Formation energy from the elements = 345.9 meV/atom



# 20
Material: ReCIN2
Method: DFT, PBE
State: relaxed

Cell: 3.799 3.799 5.881 Å, 90.00 90.00 90.00°
Site moments in Bohr magnetons follow the coordinates.
Fractional coordinates of all 5 atoms:
I 0.000 0.000 0.500  -0.04
Re 0.000 0.000 0.000  0.04
C 0.500 0.500 0.500  0.64
N 0.000 0.500 0.000  0.03
N 0.500 0.000 0.000  0.03

Distance to the lowest polymorph of the same formula = 0.00 kcal/mol of atoms
Calculated density = 6.910 g cm⁻³
Formation energy without anion corrections = 1.6259 eV per atom



# 21
Material: Nd2DyErTm2
Method: DFT, PBE
State: relaxed

Cell: 7.017 9.625 8.752 Å, 138.60 90.00 90.00°
Fractional coordinates of all 12 atoms:
Nd 0.250 0.238 0.727
Nd 0.250 0.629 0.785
Nd 0.750 0.762 0.273
Nd 0.750 0.371 0.215
Dy 0.750 0.252 0.738
Dy 0.250 0.748 0.262
Er 0.250 0.380 0.233
Er 0.750 0.620 0.767
Tm 0.502 0.095 0.277
Tm 0.998 0.095 0.277
Tm 0.002 0.905 0.723
Tm 0.498 0.905 0.723

Calculated density = 8.123 g cm⁻³
Formation energy from the elements = 120.1 meV/atom



# 22
Material: Nb2Al2Cu
Method: DFT, PBE
State: relaxed

Cell: 6.289 6.289 4.122 Å, 90.00 90.00 90.00°
Fractional coordinates of all 10 atoms:
Nb 0.160 0.660 0.500
Nb 0.660 0.840 0.500
Nb 0.840 0.340 0.500
Nb 0.340 0.160 0.500
Al 0.358 0.858 0.000
Al 0.858 0.642 0.000
Al 0.642 0.142 0.000
Al 0.142 0.358 0.000
Cu 0.000 0.000 0.000
Cu 0.500 0.500 0.000

Calculated density = 6.178 g cm⁻³
Formation energy from the elements = -98.2 meV/atom



# 23
Material: La2NdN
Method: DFT, PBE
State: relaxed

Cell: 3.638 3.638 10.190 Å, 79.72 79.72 60.00°
Fractional coordinates of all 4 atoms:
N 0.500 0.500 0.500
Nd 0.000 0.000 0.000
La 0.119 0.119 0.642
La 0.881 0.881 0.358

Distance to the lowest polymorph of the same formula = 0.60 kcal/mol of atoms
Calculated density = 6.335 g cm⁻³
Formation energy without anion corrections = -0.5869 eV per atom